The following is a DFT calculation (PBE-GGA) of NaCuSbCl5 after structural relaxation.

Properties
Formation energy (no corrections) in eV per atom: -0.88
Calculated volume in Å³/cell: 459.3

abc: 7.0019 7.0019 11.0474
angles: 107.61 107.61 103.55
With the nearest neighbours (Å) after each atom.
Fractional coordinates of all 16 atoms:
1 Cl 0.3996 0.3216 0.0722  1 Cu 2.41, 1 Sb 2.66
2 Cl 0.1216 0.8784 0.2500  1 Sb 2.57
3 Cl 0.0094 0.6564 0.7967  1 Cu 2.28
4 Cl 0.6004 0.6784 0.9278  1 Cu 2.41, 1 Sb 2.66
5 Cl 0.3216 0.3996 0.5722  1 Cu 2.41, 1 Sb 2.66
6 Cl 0.8784 0.1216 0.7500  1 Sb 2.57
7 Cl 0.9906 0.3436 0.2033  1 Cu 2.28
8 Cl 0.6564 0.0094 0.2967  1 Cu 2.28
9 Cl 0.6784 0.6004 0.4278  1 Cu 2.41, 1 Sb 2.66
10 Cl 0.3436 0.9906 0.7033  1 Cu 2.28
11 Cu 0.6912 0.3088 0.2500  4 Cl 2.28-2.41
12 Cu 0.3088 0.6912 0.7500  4 Cl 2.28-2.41
13 Na 0.0000 0.0000 0.5000  6 Cl 2.78-3.07
14 Na 0.0000 0.0000 0.0000  6 Cl 2.78-3.07
15 Sb 0.3553 0.6447 0.2500  5 Cl 2.57-2.69
16 Sb 0.6447 0.3553 0.7500  5 Cl 2.57-2.69

The following is a DFT calculation (PBE-GGA) of Nd2Sm2Dy7 after structural relaxation.

Properties
E in eV/atom: -4.5040
Calculated volume in Å³/cell: 366.7

abc: 6.1019 8.1020 8.1020
angles: 91.70 73.76 73.76
With the nearest neighbours (Å) after each atom.
Fractional coordinates of all 11 atoms:
1 Dy 0.8241 0.4112 0.9358  6 Dy 3.26-3.64, 2 Sm 3.31-3.46
2 Dy 0.0000 0.0000 0.0000  6 Dy 3.31-3.45
3 Dy 0.1759 0.5888 0.0642  6 Dy 3.26-3.64, 2 Sm 3.31-3.46
4 Dy 0.4213 0.2315 0.2315  5 Dy 3.38-3.58, 3 Nd 3.45-3.76, 2 Sm 3.49
5 Dy 0.5787 0.7685 0.7685  5 Dy 3.38-3.58, 3 Nd 3.45-3.76, 2 Sm 3.49
6 Dy 0.1759 0.0642 0.5888  6 Dy 3.26-3.64, 2 Sm 3.31-3.46
7 Dy 0.8241 0.9358 0.4112  6 Dy 3.26-3.64, 2 Sm 3.31-3.46
8 Nd 0.1907 0.5950 0.5950  7 Dy 3.45-3.78, 2 Nd 3.51-3.75, 2 Sm 3.77
9 Nd 0.8093 0.4050 0.4050  7 Dy 3.45-3.78, 2 Nd 3.51-3.75, 2 Sm 3.77
10 Sm 0.5000 0.7872 0.2128  6 Dy 3.31-3.49
11 Sm 0.5000 0.2128 0.7872  6 Dy 3.31-3.49

The following is a DFT calculation (PBE-GGA) of YPuBr6 after structural relaxation.

Properties
Formation energy (no corrections) in eV per atom: -1.66
Energy relative to the lowest polymorph listed for this composition in meV per atom: 0
Calculated volume in Å³/cell: 314.6

abc: 7.4487 7.4487 7.0728
angles: 97.92 97.92 123.12
With the nearest neighbours (Å) after each atom.
Fractional coordinates of all 8 atoms:
1 Br 0.4041 0.1109 0.2541  1 Y 2.82, 1 Pu 2.89
2 Br 0.5959 0.8891 0.7459  1 Y 2.82, 1 Pu 2.89
3 Br 0.2507 0.2507 0.7453  1 Y 2.81, 1 Pu 2.87
4 Br 0.8891 0.5959 0.7459  1 Y 2.82, 1 Pu 2.89
5 Br 0.1109 0.4041 0.2541  1 Y 2.82, 1 Pu 2.89
6 Br 0.7493 0.7493 0.2547  1 Y 2.81, 1 Pu 2.87
7 Y 0.5000 0.5000 0.5000  6 Br 2.81-2.82
8 Pu 0.0000 0.0000 0.0000  6 Br 2.87-2.89

The following is a DFT calculation (PBE-GGA) of Ag2Pb2S3 after structural relaxation.

Properties
Formation energy (no corrections) in eV per atom: -0.27
Energy relative to the lowest polymorph listed for this composition in meV per atom: 0
Calculated volume in Å³/cell: 179.0

abc: 4.3040 6.9131 7.2716
angles: 118.50 107.21 90.00
With the nearest neighbours (Å) after each atom.
Fractional coordinates of all 7 atoms:
1 Pb 0.5954 0.8451 0.1908  5 S 2.74-3.01
2 Pb 0.4046 0.1549 0.8092  5 S 2.74-3.01
3 Ag 0.1941 0.3479 0.3883  4 S 2.56-2.73, 2 Ag 2.86
4 Ag 0.8059 0.6521 0.6117  4 S 2.56-2.73, 2 Ag 2.86
5 S 0.0000 0.0000 0.0000  2 Ag 2.56
6 S 0.2152 0.7447 0.4304  3 Ag 2.61-2.73, 1 Pb 2.74
7 S 0.7848 0.2553 0.5696  3 Ag 2.61-2.73, 1 Pb 2.74

The following is a DFT calculation (PBE-GGA) of DyScI6 after structural relaxation.

Properties
Formation energy (no corrections) in eV per atom: -1.26
Calculated volume in Å³/cell: 367.0

abc: 7.2925 7.2932 8.1398
angles: 63.38 81.81 71.46
With the nearest neighbours (Å) after each atom.
Fractional coordinates of all 8 atoms:
1 I 0.2600 0.8819 0.7145  1 Sc 2.91, 1 Dy 3.04
2 I 0.7400 0.1181 0.2855  1 Sc 2.91, 1 Dy 3.04
3 I 0.2600 0.5964 0.2855  1 Sc 2.91, 1 Dy 3.04
4 I 0.2556 0.2544 0.0000  1 Sc 2.90, 1 Dy 3.02
5 I 0.7444 0.7456 0.0000  1 Sc 2.90, 1 Dy 3.02
6 I 0.7400 0.4036 0.7145  1 Sc 2.91, 1 Dy 3.04
7 Sc 0.5000 0.5000 0.0000  6 I 2.90-2.91
8 Dy 0.0000 0.0000 0.0000  6 I 3.02-3.04

The following is a DFT calculation (PBE-GGA) of Pu2BeFe after structural relaxation.

Properties
Energy relative to the lowest polymorph listed for this composition in meV per atom: 0
Calculated volume in Å³/cell: 71.3

abc: 3.5145 3.5145 5.7727
angles: 90.00 90.00 90.00
With the nearest neighbours (Å) after each atom.
Fractional coordinates of all 4 atoms:
1 Fe 0.5000 0.5000 0.5000  2 Be 2.89, 8 Pu 2.89
2 Be 0.5000 0.5000 0.0000  8 Pu 2.86, 2 Fe 2.89
3 Pu 0.0000 0.0000 0.7556  2 Pu 2.82-2.95, 4 Be 2.86, 4 Fe 2.89
4 Pu 0.0000 0.0000 0.2444  2 Pu 2.82-2.95, 4 Be 2.86, 4 Fe 2.89

The following is a DFT calculation (PBE-GGA) of Pu2HfCo after structural relaxation.

Properties
E in eV/atom: -10.9832
Calculated volume in Å³/cell: 87.7

abc: 3.2219 3.2219 9.9294
angles: 80.66 80.66 60.00
With the nearest neighbours (Å) after each atom.
Fractional coordinates of all 4 atoms:
1 Pu 0.8989 0.8989 0.3032  3 Co 2.67, 1 Hf 2.96
2 Pu 0.1011 0.1011 0.6968  3 Co 2.67, 1 Hf 2.96
3 Hf 0.0000 0.0000 0.0000  2 Pu 2.96, 6 Hf 3.22
4 Co 0.5000 0.5000 0.5000  6 Pu 2.67

The following is a DFT calculation (PBE-GGA) of LiUBr6 after structural relaxation.

Properties
Formation energy (no corrections) in eV per atom: -1.28
Energy relative to the lowest polymorph listed for this composition in meV per atom: 18
Calculated volume in Å³/cell: 273.0

abc: 7.0664 7.0649 7.5180
angles: 61.97 61.96 60.01
With the nearest neighbours (Å) after each atom.
Fractional coordinates of all 8 atoms:
1 U 0.0000 0.0000 0.0000  6 Br 2.70
2 Br 0.1060 0.3820 0.7530  1 U 2.70, 1 Li 2.81
3 Br 0.7589 0.1060 0.7532  1 U 2.70, 1 Li 2.81
4 Br 0.2411 0.8940 0.2468  1 U 2.70, 1 Li 2.81
5 Br 0.8940 0.6180 0.2470  1 U 2.70, 1 Li 2.81
6 Br 0.6181 0.2411 0.2469  1 U 2.70, 1 Li 2.81
7 Br 0.3819 0.7589 0.7531  1 U 2.70, 1 Li 2.81
8 Li 0.5000 0.5000 0.5000  6 Br 2.81

The following is a DFT calculation (PBE-GGA) of MnTeP2 after structural relaxation.

Properties
Formation energy (no corrections) in eV per atom: 0.11
Calculated volume in Å³/cell: 68.4

abc: 8.6014 8.6014 8.6014
angles: 20.51 20.51 20.51
With the nearest neighbours (Å) after each atom.
Fractional coordinates of all 4 atoms:
1 P 0.0241 0.0241 0.0241  3 Mn 2.32
2 P 0.4759 0.4759 0.4759  3 Mn 2.32
3 Te 0.2500 0.2500 0.2500  6 Te 3.06, 6 P 3.24
4 Mn 0.7500 0.7500 0.7500  6 P 2.32

The following is a DFT calculation (PBE-GGA) of Na3B4C2 after structural relaxation.

Properties
Energy relative to the lowest polymorph listed for this composition in meV per atom: 0
Calculated volume in Å³/cell: 185.1

abc: 7.8011 7.8011 10.0132
angles: 120.19 120.19 20.69
With the nearest neighbours (Å) after each atom.
Fractional coordinates of all 18 atoms:
1 Na 0.1651 0.1651 0.4999  8 B 2.66-2.90, 4 C 2.68-2.79, 6 Na 2.80-2.94
2 Na 0.0001 0.0001 0.0037  9 B 2.67-2.87, 3 C 2.73-2.75, 6 Na 2.80-2.95
3 Na 0.8333 0.8333 0.5000  8 B 2.65-2.79, 4 C 2.73, 6 Na 2.80-2.94
4 Na 0.6666 0.6666 0.9963  9 B 2.67-2.87, 3 C 2.73-2.75, 6 Na 2.80-2.95
5 Na 0.3333 0.3333 0.0000  6 C 2.67-2.71, 6 B 2.67-2.69, 6 Na 2.80-2.90
6 Na 0.5016 0.5016 0.5001  8 B 2.66-2.90, 4 C 2.68-2.79, 6 Na 2.80-2.94
7 C 0.9668 0.9668 0.2488  3 B 1.60-1.62
8 C 0.6999 0.6999 0.7512  3 B 1.60-1.62
9 C 0.3582 0.3582 0.7512  3 B 1.55-1.63
10 C 0.3085 0.3085 0.2488  3 B 1.55-1.63
11 B 0.0334 0.0334 0.7486  3 B 1.73-1.82
12 B 0.2081 0.2081 0.2500  1 C 1.55
13 B 0.8624 0.8624 0.2487  3 C 1.60-1.63
14 B 0.1464 0.1464 0.7501  2 C 1.62, 1 B 1.73
15 B 0.5203 0.5203 0.2499  2 C 1.62, 1 B 1.73
16 B 0.6333 0.6333 0.2514  3 B 1.73-1.82
17 B 0.4586 0.4586 0.7500  1 C 1.55
18 B 0.8043 0.8043 0.7513  3 C 1.60-1.63

The following is a DFT calculation (PBE-GGA) of ScGaSiTc after structural relaxation.

Properties
Formation energy (no corrections) in eV per atom: -0.39
Calculated volume in Å³/cell: 61.4

abc: 4.4291 4.4291 4.4291
angles: 60.00 60.00 60.00
With the nearest neighbours (Å) after each atom.
Fractional coordinates of all 4 atoms:
1 Tc 0.5000 0.5000 0.5000  4 Si 2.71, 4 Ga 2.71
2 Sc 0.0000 0.0000 0.0000  4 Ga 2.71, 4 Si 2.71
3 Si 0.7500 0.7500 0.7500  4 Tc 2.71, 4 Sc 2.71
4 Ga 0.2500 0.2500 0.2500  4 Tc 2.71, 4 Sc 2.71

The following is a DFT calculation (PBE-GGA) of CaNiHg2 after structural relaxation.

Properties
E in eV/atom: -2.2572
Calculated volume in Å³/cell: 90.8

abc: 4.5466 4.5466 5.7123
angles: 66.64 66.64 59.86
With the nearest neighbours (Å) after each atom.
Fractional coordinates of all 4 atoms:
1 Hg 0.0307 0.0307 0.9087  3 Ni 2.74-2.75
2 Hg 0.4693 0.4693 0.5913  3 Ni 2.74-2.75
3 Ca 0.2500 0.2500 0.2500  8 Hg 3.14-3.35
4 Ni 0.7500 0.7500 0.7500  6 Hg 2.74-2.75